This record from the Alexandria database describes RbNp2Br11 after structural relaxation. The functional is PBE.

a b c (Å): 13.2386 11.9192 11.9192
angles (deg): 67.11 56.27 56.27
Each line ends with the local moment (μB).
Fractional coordinates of all 28 atoms:
Br 0.9345 0.8776 0.3796  -0.09
Br 0.8830 0.4112 0.3343  -0.09
Br 0.1285 0.0888 0.1657  -0.09
Br 0.6285 0.6657 0.5888  -0.09
Br 0.5655 0.1204 0.6224  -0.09
Br 0.0655 0.1224 0.6204  -0.09
Br 0.5000 0.5000 0.5000  -0.07
Br 0.3083 0.3776 0.8796  -0.09
Br 0.3830 0.8343 0.9112  -0.09
Br 0.6917 0.6224 0.1204  -0.09
Br 0.3715 0.3343 0.4112  -0.09
Br 0.6170 0.1657 0.0888  -0.09
Br 0.1170 0.5888 0.6657  -0.09
Br 0.1938 0.2200 0.7800  -0.11
Br 0.0000 0.0000 0.0000  -0.07
Br 0.8062 0.7800 0.2200  -0.11
Br 0.8715 0.9112 0.8343  -0.09
Br 0.6938 0.2800 0.7200  -0.11
Br 0.1917 0.6204 0.1224  -0.09
Br 0.4345 0.8796 0.3776  -0.09
Br 0.3062 0.7200 0.2800  -0.11
Br 0.8083 0.3796 0.8776  -0.09
Np 0.8402 0.1461 0.8539  2.62
Np 0.1598 0.8539 0.1461  2.62
Np 0.6598 0.6461 0.3539  2.62
Np 0.3402 0.3539 0.6461  2.62
Rb 0.7500 0.7500 0.7500  0.00
Rb 0.2500 0.2500 0.2500  0.00

- formation energy from raw total energies (eV/f.u.) = -16.1
- magnetic moment (μB/atom) = 0.29
- D(E_F) (states/eV per cell) = 31.398